Below is an optimized crystal structure of K3Tl4Bi2, with properties calculated at the PBE level.

a b c (Å): 15.4880 4.8169 10.2451
angles (deg): 90.00 115.43 90.00
Last column: nearest neighbours and their distance in Å.
Space group C2/m (No. 12)
Asymmetric unit:
1 K 0.0000 0.0000 0.0000 (multiplicity 2)  4 Tl 3.49, 2 Bi 3.59
2 K 0.1082 0.5000 0.3691 (multiplicity 4)  3 Bi 3.58-3.80, 2 Tl 3.86
3 Tl 0.1011 0.0000 0.6984 (multiplicity 4)  2 Bi 3.23, 2 Tl 3.59
4 Tl 0.1581 0.5000 0.9837 (multiplicity 4)  3 Bi 3.26-3.44, 2 K 3.49, 4 Tl 3.59-3.63
5 Bi 0.2488 0.0000 0.2480 (multiplicity 4)  5 Tl 3.23-3.44, 2 K 3.58-3.59

Values from the calculation:
Calculated total energy (eV per atom): -2.48
Volume (Å³ per cell): 690
Theoretical density (g/cm3): 6.51
N(E_F) (states/eV/cell): 5.55
Energy relative to the elements (eV/atom): -0.20
ΔE to the lowest computed polymorph (meV/atom): 0